# KNiF3

A relaxed KNiF3 crystal (PBE with a Hubbard U, Alexandria).

electronic total energy: -42.8 eV for the cell shown
space group: R-3

Geometry as CIF:
```
data_KNiF3
_space_group_name_H-M_alt 'P 1'
_space_group_IT_number 1
_cell_length_a 6.5775
_cell_length_b 6.5775
_cell_length_c 6.5775
_cell_angle_alpha 50.00
_cell_angle_beta 50.00
_cell_angle_gamma 50.00
loop_
_space_group_symop_operation_xyz
'x,y,z'
loop_
_atom_site_label
_atom_site_fract_x
_atom_site_fract_y
_atom_site_fract_z
_atom_site_occupancy
Ni1 0.3370 0.3370 0.3370 1
Ni2 0.6630 0.6630 0.6630 1
K1 0.1383 0.1383 0.1383 1
K2 0.8617 0.8617 0.8617 1
F1 0.4655 0.0594 0.6747 1
F2 0.0594 0.6747 0.4655 1
F3 0.3253 0.5345 0.9406 1
F4 0.9406 0.3253 0.5345 1
F5 0.5345 0.9406 0.3253 1
F6 0.6747 0.4655 0.0594 1
```